The following is a PBE-GGA calculation of Zn2Ni5N after structural relaxation, from the Alexandria database.

Results
The value obtained for the volume is 95.6 Å³/cell. The calculation puts the energy relative to the elements, uncorrected at 0.1 eV/f.u. The calculation puts the spin magnetization at 0.0 μB per cell. The crystal system is tetragonal. The value obtained for the total energy is -4.96 eV per atom.

Cell lengths 3.7951, 5.0187, 5.0187 Å; angles 90.00, 90.00, 90.00 degrees
Positions (direct):
Zn1 0.5000 0.5000 0.0000
Zn2 0.5000 0.0000 0.5000
Ni1 0.0000 0.7387 0.7387
Ni2 0.0000 0.2613 0.7387
Ni3 0.0000 0.7387 0.2613
Ni4 0.5000 0.0000 0.0000
Ni5 0.0000 0.2613 0.2613
N1 0.0000 0.0000 0.0000